# PuCd2Ga

A relaxed structure of PuCd2Ga (GGA-PBE, the Alexandria database).

```
data_PuCd2Ga
_chemical_formula_sum 'Pu1 Cd2 Ga1'
_cell_length_a 3.155
_cell_length_b 3.155
_cell_length_c 9.179
_cell_angle_alpha 90.00
_cell_angle_beta 90.00
_cell_angle_gamma 90.00
_symmetry_space_group_name_H-M 'P 4/m m m'
_symmetry_Int_Tables_number 123
_symmetry_space_group_name_Hall '-P 4 2'
loop_
_atom_site_label
_atom_site_type_symbol
_atom_site_fract_x
_atom_site_fract_y
_atom_site_fract_z
_atom_site_occupancy
Pu1 Pu 0.000 0.000 0.000 1
Cd1 Cd 0.500 0.500 0.272 1
Ga1 Ga 0.000 0.000 0.500 1
```

Formation energy, eV per atom: -0.0188
Calculated total energy, eV per atom: -4.82
Energy above the lowest structure with this stoichiometry, eV per atom: 0.0510
Fermi-level density of states, states/eV per atom: 1.79

***

# PuCdGa

A relaxed structure of PuCdGa (GGA-PBE, the Alexandria database).

```
data_PuCdGa
_chemical_formula_sum 'Pu4 Cd4 Ga4'
_cell_length_a 5.479
_cell_length_b 4.499
_cell_length_c 9.719
_cell_angle_alpha 90.00
_cell_angle_beta 93.84
_cell_angle_gamma 90.00
_symmetry_space_group_name_H-M 'C 1 2/m 1'
_symmetry_Int_Tables_number 12
loop_
_symmetry_equiv_pos_as_xyz
'x,y,z'
'-x,-y,-z'
'-x,y,-z'
'x,-y,z'
'x+1/2,y+1/2,z'
'-x+1/2,-y+1/2,-z'
'-x+1/2,y+1/2,-z'
'x+1/2,-y+1/2,z'
loop_
_atom_site_label
_atom_site_type_symbol
_atom_site_fract_x
_atom_site_fract_y
_atom_site_fract_z
_atom_site_occupancy
Pu1 Pu 0.199 0.000 0.045 1
Cd1 Cd 0.231 0.000 0.403 1
Ga1 Ga 0.216 0.500 0.243 1
```

Formation energy, eV per atom: -0.0026
Calculated total energy, eV per atom: -6.09
Fermi-level density of states, states/eV per atom: 1.11

***

# Pu3CdGa2

A relaxed structure of Pu3CdGa2 (GGA-PBE, the Alexandria database).

```
data_Pu3CdGa2
_chemical_formula_sum 'Pu3 Cd1 Ga2'
_cell_length_a 3.089
_cell_length_b 3.089
_cell_length_c 14.081
_cell_angle_alpha 90.00
_cell_angle_beta 90.00
_cell_angle_gamma 90.00
_symmetry_space_group_name_H-M 'P 4/m m m'
_symmetry_Int_Tables_number 123
_symmetry_space_group_name_Hall '-P 4 2'
loop_
_atom_site_label
_atom_site_type_symbol
_atom_site_fract_x
_atom_site_fract_y
_atom_site_fract_z
_atom_site_occupancy
Pu1 Pu 0.000 0.000 0.000 1
Pu2 Pu 0.000 0.000 0.318 1
Cd1 Cd 0.500 0.500 0.500 1
Ga1 Ga 0.500 0.500 0.160 1
```

Formation energy, eV per atom: -0.2155
Calculated total energy, eV per atom: -8.54
Fermi-level density of states, states/eV per atom: 2.34

***

# Pu2CdGa6

A relaxed structure of Pu2CdGa6 (GGA-PBE, the Alexandria database).

```
data_Pu2CdGa6
_chemical_formula_sum 'Pu2 Cd1 Ga6'
_cell_length_a 8.2681
_cell_length_b 8.2681
_cell_length_c 3.0162
_cell_angle_alpha 90.00
_cell_angle_beta 90.00
_cell_angle_gamma 120.00
_symmetry_space_group_name_H-M 'P 6/m m m'
_symmetry_Int_Tables_number 191
_symmetry_space_group_name_Hall '-P 6 2'
loop_
_atom_site_label
_atom_site_type_symbol
_atom_site_fract_x
_atom_site_fract_y
_atom_site_fract_z
_atom_site_occupancy
Pu1 Pu 0.3333 0.6667 0.0000 1
Cd1 Cd 0.0000 0.0000 0.0000 1
Ga1 Ga 0.0000 0.3293 0.5000 1
```

Formation energy, eV per atom: -0.2306
Calculated total energy, eV per atom: -5.54
Fermi-level density of states, states/eV per atom: 1.76

***

# PuCdGa

A relaxed structure of PuCdGa (GGA-PBE, the Alexandria database).

```
data_PuCdGa
_chemical_formula_sum 'Pu4 Cd4 Ga4'
_cell_length_a 6.755
_cell_length_b 6.755
_cell_length_c 6.755
_cell_angle_alpha 90.00
_cell_angle_beta 90.00
_cell_angle_gamma 90.00
_symmetry_space_group_name_H-M 'F -4 3 m'
_symmetry_Int_Tables_number 216
_symmetry_space_group_name_Hall 'F -4 2 3'
loop_
_atom_site_label
_atom_site_type_symbol
_atom_site_fract_x
_atom_site_fract_y
_atom_site_fract_z
_atom_site_occupancy
Pu1 Pu 0.000 0.000 0.000 1
Cd1 Cd 0.000 0.000 0.500 1
Ga1 Ga 0.250 0.250 0.250 1
```

Formation energy, eV per atom: -0.0042
Calculated total energy, eV per atom: -6.10
Fermi-level density of states, states/eV per atom: 5.85

***

# PuCdGaSn

A relaxed structure of PuCdGaSn (GGA-PBE, the Alexandria database).

```
data_PuCdGaSn
_chemical_formula_sum 'Pu1 Cd1 Ga1 Sn1'
_cell_length_a 4.348
_cell_length_b 4.609
_cell_length_c 4.648
_cell_angle_alpha 90.00
_cell_angle_beta 90.00
_cell_angle_gamma 90.00
_symmetry_space_group_name_H-M 'P m m m'
_symmetry_Int_Tables_number 47
loop_
_symmetry_equiv_pos_as_xyz
'x,y,z'
'-x,-y,-z'
'-x,-y,z'
'x,y,-z'
'x,-y,-z'
'-x,y,z'
'-x,y,-z'
'x,-y,z'
loop_
_atom_site_label
_atom_site_type_symbol
_atom_site_fract_x
_atom_site_fract_y
_atom_site_fract_z
_atom_site_occupancy
Pu1 Pu 0.000 0.000 0.000 1
Cd1 Cd 0.000 0.500 0.500 1
Ga1 Ga 0.500 0.500 0.000 1
Sn1 Sn 0.500 0.000 0.500 1
```

Formation energy, eV per atom: -0.2576
Calculated total energy, eV per atom: -5.83
Energy above the lowest structure with this stoichiometry, eV per atom: 0.0000
Fermi-level density of states, states/eV per atom: 2.71

***

# PuCdGaSn

A relaxed structure of PuCdGaSn (GGA-PBE, the Alexandria database).

```
data_PuCdGaSn
_chemical_formula_sum 'Pu4 Cd4 Ga4 Sn4'
_cell_length_a 7.239
_cell_length_b 7.239
_cell_length_c 7.239
_cell_angle_alpha 90.00
_cell_angle_beta 90.00
_cell_angle_gamma 90.00
_symmetry_space_group_name_H-M 'F -4 3 m'
_symmetry_Int_Tables_number 216
_symmetry_space_group_name_Hall 'F -4 2 3'
loop_
_atom_site_label
_atom_site_type_symbol
_atom_site_fract_x
_atom_site_fract_y
_atom_site_fract_z
_atom_site_occupancy
Pu1 Pu 0.000 0.000 0.000 1
Cd1 Cd 0.000 0.000 0.500 1
Ga1 Ga 0.250 0.250 0.750 1
Sn1 Sn 0.250 0.250 0.250 1
```

Formation energy, eV per atom: -0.1322
Calculated total energy, eV per atom: -5.70
Energy above the lowest structure with this stoichiometry, eV per atom: 0.1255
Fermi-level density of states, states/eV per atom: 3.09

***

# PuThCdGa

A relaxed structure of PuThCdGa (GGA-PBE, the Alexandria database).

```
data_PuThCdGa
_chemical_formula_sum 'Pu4 Th4 Cd4 Ga4'
_cell_length_a 7.461
_cell_length_b 7.461
_cell_length_c 7.461
_cell_angle_alpha 90.00
_cell_angle_beta 90.00
_cell_angle_gamma 90.00
_symmetry_space_group_name_H-M 'F -4 3 m'
_symmetry_Int_Tables_number 216
_symmetry_space_group_name_Hall 'F -4 2 3'
loop_
_atom_site_label
_atom_site_type_symbol
_atom_site_fract_x
_atom_site_fract_y
_atom_site_fract_z
_atom_site_occupancy
Pu1 Pu 0.000 0.000 0.000 1
Th1 Th 0.000 0.000 0.500 1
Cd1 Cd 0.250 0.250 0.250 1
Ga1 Ga 0.250 0.250 0.750 1
```

Formation energy, eV per atom: -0.1277
Calculated total energy, eV per atom: -6.55
Fermi-level density of states, states/eV per atom: 2.54

***

Please write out number 2 again, unchanged.
# PuCdGa

A relaxed structure of PuCdGa (GGA-PBE, the Alexandria database).

```
data_PuCdGa
_chemical_formula_sum 'Pu4 Cd4 Ga4'
_cell_length_a 5.479
_cell_length_b 4.499
_cell_length_c 9.719
_cell_angle_alpha 90.00
_cell_angle_beta 93.84
_cell_angle_gamma 90.00
_symmetry_space_group_name_H-M 'C 1 2/m 1'
_symmetry_Int_Tables_number 12
loop_
_symmetry_equiv_pos_as_xyz
'x,y,z'
'-x,-y,-z'
'-x,y,-z'
'x,-y,z'
'x+1/2,y+1/2,z'
'-x+1/2,-y+1/2,-z'
'-x+1/2,y+1/2,-z'
'x+1/2,-y+1/2,z'
loop_
_atom_site_label
_atom_site_type_symbol
_atom_site_fract_x
_atom_site_fract_y
_atom_site_fract_z
_atom_site_occupancy
Pu1 Pu 0.199 0.000 0.045 1
Cd1 Cd 0.231 0.000 0.403 1
Ga1 Ga 0.216 0.500 0.243 1
```

Formation energy, eV per atom: -0.0026
Calculated total energy, eV per atom: -6.09
Fermi-level density of states, states/eV per atom: 1.11